# 1
Entry from Alexandria: a relaxed structure of CaPmAl6 (PBE).

**Total moment**: 0.0 μB/cell
**Space group**: No. 25
**Energy relative to the elements**: -301 meV/atom
**N(E_F)**: 3.2 states/eV per cell

Unit cell a=4.484 b=6.177 c=6.042 alpha=90.00 beta=90.00 gamma=90.00
Positions (direct):
Ca1 0.000 0.606 0.000
Pm1 0.500 0.394 0.500
Al1 0.500 0.866 0.256
Al2 0.000 0.136 0.753
Al3 0.000 0.136 0.247
Al4 0.500 0.866 0.744
Al5 0.000 0.759 0.500
Al6 0.500 0.237 0.000

# 2
Entry from Alexandria: a relaxed structure of CaPm2Al (PBE).

**Energy above the most stable polymorph in this dataset**: 0.000 eV per atom
**Total moment**: 0.0 μB/cell
**Space group**: No. 123
**Energy relative to the elements**: -131 meV/atom
**N(E_F)**: 3.9 states/eV per cell

Unit cell a=3.699 b=3.699 c=9.321 alpha=90.00 beta=90.00 gamma=90.00
Positions (direct):
Ca1 0.500 0.500 0.500
Al1 0.500 0.500 0.000
Pm1 0.000 0.000 0.805
Pm2 0.000 0.000 0.195

# 3
Entry from Alexandria: a relaxed structure of Ca2PmAl (PBE).

**Energy above the most stable polymorph in this dataset**: 0.043 eV per atom
**Total moment**: 0.0 μB/cell
**Space group**: No. 123
**Energy relative to the elements**: -39 meV/atom
**N(E_F)**: 3.0 states/eV per cell

Unit cell a=3.523 b=3.523 c=10.072 alpha=90.00 beta=90.00 gamma=90.00
Positions (direct):
Ca1 0.000 0.000 0.794
Ca2 0.000 0.000 0.206
Al1 0.500 0.500 0.000
Pm1 0.500 0.500 0.500